Entry 1:
Cr3Rh4W: optimized geometry, PBE.

Summary:
Calculated total energy ... -0.660 Ry/atom
N(E_F) ... 6.3 states/eV/cell
Total magnetization ... 0.946 μB per formula unit
Energy of formation ... -0.65 eV per formula unit

Cell: 3.796 3.796 7.966 Å, 103.81 103.78 90.00°
Element x y z (fractional)
Cr  0.751  0.251  0.501
Rh  0.870  0.870  0.740
Cr  0.000  0.500  0.000
Rh  0.630  0.630  0.260
W  0.500  0.000  0.000
Cr  0.249  0.749  0.499
Rh  0.370  0.370  0.740
Rh  0.130  0.130  0.260

=====

Entry 2:
CrRh6W: optimized geometry, PBE.

Summary:
Calculated total energy ... -0.627 Ry/atom
N(E_F) ... 6.9 states/eV/cell
Total magnetization ... 1.692 μB per formula unit
Energy of formation ... -1.51 eV per formula unit

Cell: 3.847 5.428 5.428 Å, 90.00 90.00 90.00°
Element x y z (fractional)
Rh  0.000  0.875  0.625
Rh  0.500  0.625  0.875
Rh  0.000  0.375  0.125
Rh  0.000  0.375  0.625
W  0.500  0.125  0.875
Rh  0.500  0.125  0.375
Rh  0.000  0.875  0.125
Cr  0.500  0.625  0.375